[1]
A relaxed structure of CsLaCuSe2. Source: Alexandria, functional GGA-PBE.

Energy relative to the elements, uncorrected ... -1071 meV per atom
Space group ... P2/c

a = 4.829 Å, b = 8.494 Å, c = 8.748 Å
α = 99.42°, β = 90.00°, γ = 90.00°
Sites, in units of the cell vectors:
Se: 0.693 0.782 0.968
Se: 0.307 0.218 0.032
Se: 0.307 0.782 0.468
Se: 0.693 0.218 0.532
Cs: 0.178 0.500 0.750
Cs: 0.822 0.500 0.250
Cu: 0.000 0.000 0.500
Cu: 0.000 0.000 0.000
La: 0.491 0.000 0.250
La: 0.509 0.000 0.750

[2]
A relaxed structure of Cs2LaCuTc. Source: Alexandria, functional GGA-PBE.

DFT formation energy ... 1.391 eV/atom
Space group ... P4/mmm

a = 6.244 Å, b = 6.244 Å, c = 5.813 Å
α = 90.00°, β = 90.00°, γ = 90.00°
Sites, in units of the cell vectors:
Cs: 0.500 0.000 0.000
Cs: 0.000 0.500 0.000
Tc: 0.500 0.500 0.500
Cu: 0.000 0.000 0.000
La: 0.000 0.000 0.500

[3]
A relaxed structure of CsLiCu2. Source: Alexandria, functional GGA-PBE.

DFT formation energy ... 0.695 eV/atom
Space group ... Fm-3m

a = 5.492 Å, b = 5.492 Å, c = 5.492 Å
α = 60.00°, β = 60.00°, γ = 60.00°
Sites, in units of the cell vectors:
Cu: 0.250 0.250 0.250
Cu: 0.750 0.750 0.750
Li: 0.000 0.000 0.000
Cs: 0.500 0.500 0.500

[4]
A relaxed structure of Cs3LiCu. Source: Alexandria, functional GGA-PBE.

DFT formation energy ... 0.303 eV/atom
Energy above the lowest structure with this stoichiometry ... 0.000 eV/atom
Space group ... Pm-3m

a = 7.039 Å, b = 7.039 Å, c = 7.039 Å
α = 90.00°, β = 90.00°, γ = 90.00°
Sites, in units of the cell vectors:
Li: 0.500 0.500 0.500
Cs: 0.500 0.000 0.000
Cs: 0.000 0.000 0.500
Cs: 0.000 0.500 0.000
Cu: 0.000 0.000 0.000

[5]
A relaxed structure of CsLi2Cu. Source: Alexandria, functional GGA-PBE.

DFT formation energy ... 0.499 eV/atom
Space group ... Fm-3m

a = 5.510 Å, b = 5.510 Å, c = 5.510 Å
α = 60.00°, β = 60.00°, γ = 60.00°
Sites, in units of the cell vectors:
Li: 0.750 0.750 0.750
Li: 0.250 0.250 0.250
Cu: 0.000 0.000 0.000
Cs: 0.500 0.500 0.500

[6]
A relaxed structure of CsLi3Cu. Source: Alexandria, functional GGA-PBE.

DFT formation energy ... 0.247 eV/atom
Energy above the lowest structure with this stoichiometry ... 0.000 eV/atom
Space group ... Pm-3m

a = 5.321 Å, b = 5.321 Å, c = 5.321 Å
α = 90.00°, β = 90.00°, γ = 90.00°
Sites, in units of the cell vectors:
Cu: 0.000 0.000 0.000
Li: 0.500 0.000 0.000
Li: 0.000 0.500 0.000
Li: 0.000 0.000 0.500
Cs: 0.500 0.500 0.500

[7]
A relaxed structure of CsLi3Cu. Source: Alexandria, functional GGA-PBE.

DFT formation energy ... 1.167 eV/atom
Energy above the lowest structure with this stoichiometry ... 0.920 eV/atom
Space group ... Pm-3m

a = 5.296 Å, b = 5.296 Å, c = 5.296 Å
α = 90.00°, β = 90.00°, γ = 90.00°
Sites, in units of the cell vectors:
Li: 0.000 0.000 0.500
Li: 0.000 0.500 0.000
Li: 0.500 0.000 0.000
Cu: 0.500 0.500 0.500
Cs: 0.000 0.000 0.000

[8]
A relaxed structure of Cs2LiMgCu. Source: Alexandria, functional GGA-PBE.

DFT formation energy ... 0.470 eV/atom
Space group ... P4/mmm

a = 7.410 Å, b = 5.041 Å, c = 7.410 Å
α = 90.00°, β = 90.00°, γ = 90.00°
Sites, in units of the cell vectors:
Li: 0.500 0.500 0.500
Cs: 0.500 0.000 0.000
Cs: 0.000 0.000 0.500
Mg: 0.000 0.000 0.000
Cu: 0.000 0.500 0.000